VASP calculation (PBE+U) on a geometry-optimized Cr2ClF structure.

abc: 5.3204 5.3204 7.1615
angles: 68.19 68.19 90.00
Each line ends with the local moment (μB).
Fractional coordinates of all 8 atoms:
Cr1 0.5658 0.1250 0.2500  4.49
Cr2 0.1842 0.6250 0.2500  4.49
Cr3 0.3750 0.4342 0.7500  4.50
Cr4 0.8750 0.8158 0.7500  4.46
F1 0.5000 0.5000 0.0000  0.03
F2 0.2500 0.7500 0.5000  0.03
Cl1 0.0000 0.0000 0.0000  0.00
Cl2 0.7500 0.2500 0.5000  -0.01

Results
The calculation puts the distance to the lowest polymorph of the same formula at 0.000 eV/atom.